PaGe2BiO8 | GGA-PBE | optimized geometry

Unit cell a=5.604 b=5.604 c=7.000 alpha=90.00 beta=90.00 gamma=120.00
Element x y z (fractional)
Ge1 0.667 0.333 0.311
O1 0.673 0.837 0.789
O2 0.837 0.673 0.211
Pa1 0.000 0.000 0.000
O3 0.837 0.163 0.211
Ge2 0.333 0.667 0.689
O4 0.163 0.837 0.789
Bi1 0.000 0.000 0.500
O5 0.667 0.333 0.554
O6 0.333 0.667 0.446
O7 0.327 0.163 0.211
O8 0.163 0.327 0.789

Output
* energy: -7.130 eV/atom
* magnetization: 0.00 μB per formula unit
* density: 6.220 g/cm3